# 1
Ce2CdGe after structural relaxation, computed with PBE-GGA.

Structure (extended XYZ):
```
4
Lattice="3.8957 0.0000 0.0000 0.0000 3.8957 0.0000 0.0000 0.0000 6.7230" Properties=species:S:1:pos:R:3 pbc="T T T"
Ce 0.0000 0.0000 1.3805
Ce 0.0000 0.0000 5.3425
Cd 1.9478 1.9478 3.3615
Ge 1.9478 1.9478 0.0000
```

Values from the calculation:
**Raw total energy**: -4.805 eV per atom
**Crystal system**: tetragonal


# 2
CeCdGe2 after structural relaxation, computed with PBE-GGA.

Structure (extended XYZ):
```
4
Lattice="-2.4035 2.4766 -3.4351 -2.3320 -2.3910 -3.5433 -7.2571 -0.1405 1.5253" Properties=species:S:1:pos:R:3 pbc="T T T"
Ce -5.9963 -0.0274 -2.7265
Ge -6.8983 0.0212 -5.5115
Ge -5.0943 -0.0761 0.0584
Cd 0.0000 0.0000 0.0000
```

Values from the calculation:
**E above lowest polymorph**: 64.6 kJ/mol of atoms
**Raw total energy**: -3.827 eV per atom
**Crystal system**: trigonal


# 3
Ce3Cd2In3Ge after structural relaxation, computed with PBE-GGA.

Structure (extended XYZ):
```
9
Lattice="-3.0803 0.5480 -1.0633 2.6353 -1.6055 -8.4618 -2.9803 -6.7628 5.1485" Properties=species:S:1:pos:R:3 pbc="T T T"
Ce 0.3725 -0.8912 -6.6730
Ce -1.6348 -2.0208 -1.4402
Ce -3.7032 -4.6343 3.2050
Cd -0.7767 -3.0506 -4.4567
Cd -2.6486 -4.7697 0.0801
In -0.2125 -5.1537 -2.0405
In -1.1449 -2.5979 1.9777
In 1.0123 -0.6167 -3.2505
Ge 0.0000 0.0000 0.0000
```

Values from the calculation:
**Raw total energy**: -3.833 eV per atom
**Crystal system**: hexagonal


# 4
Ce2CdInGe after structural relaxation, computed with PBE-GGA.

Structure (extended XYZ):
```
10
Lattice="4.2538 0.0000 0.0000 0.0000 4.2538 0.0000 0.0000 0.0000 13.8820" Properties=species:S:1:pos:R:3 pbc="T T T"
Ge 0.0000 2.1269 2.1155
Ge 2.1269 0.0000 11.7664
Cd 2.1269 2.1269 6.9410
Cd 0.0000 0.0000 6.9410
Ce 2.1269 0.0000 1.0643
Ce 0.0000 2.1269 10.1388
Ce 2.1269 0.0000 3.7431
Ce 0.0000 2.1269 12.8177
In 2.1269 0.0000 8.9337
In 0.0000 2.1269 4.9483
```

Values from the calculation:
**Raw total energy**: -4.346 eV per atom
**Crystal system**: tetragonal


# 5
Ce2CdGeIr after structural relaxation, computed with PBE-GGA.

Structure (extended XYZ):
```
10
Lattice="-1.8135 -2.0696 3.3108 6.8078 -0.4570 3.4433 -5.6958 6.8602 1.1685" Properties=species:S:1:pos:R:3 pbc="T T T"
Ce 3.2406 -1.6349 4.9514
Ce 0.0129 2.7595 5.9304
Ce -0.7143 1.5741 1.9921
Ce -3.9420 5.9685 2.9712
Ir 0.1860 5.4246 4.8923
Ir -0.8874 -1.0910 3.0303
Ge 0.6113 0.1244 4.6109
Ge -1.3127 4.2092 3.3116
Cd -3.6723 2.6232 3.8266
Cd 2.9709 1.7105 4.0960
```

Values from the calculation:
**Raw total energy**: -5.759 eV per atom
**Crystal system**: monoclinic


# 6
Ce2CdGe3Ir4 after structural relaxation, computed with PBE-GGA.

Structure (extended XYZ):
```
10
Lattice="-0.7055 -1.3312 -3.8482 1.8841 -3.5691 0.8892 -9.7688 -4.3369 3.2913" Properties=species:S:1:pos:R:3 pbc="T T T"
Ir -6.8157 -3.5348 0.2533
Ir 0.0000 0.0000 0.0000
Ir 0.5893 -2.4501 -1.4795
Ir -2.3638 -3.2522 1.5584
Cd -4.2951 -4.6186 0.1661
Ge -4.8844 -2.1684 1.6456
Ge -0.2519 -2.3146 0.8469
Ge -8.9276 -4.4724 0.9649
Ce -6.4149 -5.0507 2.9233
Ce -2.7646 -1.7363 -1.1115
```

Values from the calculation:
**Raw total energy**: -6.837 eV per atom
**Crystal system**: tetragonal


no.,energy relative to the elements (meV/atom),total magnetic moment (μB per formula unit),calculated volume (Å³ per atom)
1,-455,1.56,25.51
2,194,1.15,35.23
3,-225,3.34,25.79
4,-318,1.59,25.12
5,-507,0.90,24.69
6,-629,0.85,19.10